SnSb2HI | PBE | relaxed

a b c (Å): 4.544 4.544 6.250
angles (deg): 90.00 90.00 90.00
Element x y z (fractional)
Sb: 0.500 0.000 0.000
Sb: 0.000 0.500 0.000
H: 0.000 0.000 0.000
Sn: 0.500 0.500 0.500
I: 0.000 0.000 0.500

Output
mass density	6.3	g cm⁻³
excess energy over the best structure of this formula in the dataset	0	meV/atom
D(E_F)	0.618	states/eV/atom
total DFT energy (no corrections)	-3.057	eV per atom